Entry 1:
Material: Sc2Al2Co5Si
Method: DFT, PBE
State: optimized geometry

Computed properties:
Uncorrected formation energy (meV per atom): -366
Space-group type: P4/mbm, No. 127
Total energy (eV per atom): -6.48

```
Sc2Al2Co5Si
1.0
9.548 0.000 0.000
0.000 9.548 0.000
0.000 0.000 2.933
Sc Al Co Si
4 4 10 2
Direct
0.169 0.331 0.000 Sc
0.331 0.831 0.000 Sc
0.669 0.169 0.000 Sc
0.831 0.669 0.000 Sc
0.132 0.632 0.000 Al
0.368 0.132 0.000 Al
0.632 0.868 0.000 Al
0.868 0.368 0.000 Al
0.000 0.500 0.500 Co
0.053 0.810 0.500 Co
0.190 0.053 0.500 Co
0.310 0.553 0.500 Co
0.447 0.310 0.500 Co
0.500 0.000 0.500 Co
0.553 0.690 0.500 Co
0.690 0.447 0.500 Co
0.810 0.947 0.500 Co
0.947 0.190 0.500 Co
0.000 0.000 0.000 Si
0.500 0.500 0.000 Si
```

***

Entry 2:
Material: BaAs3
Method: DFT, PBE
State: optimized geometry

Computed properties:
Space-group type: P2/m, No. 10
Total energy (eV per atom): -4.45
Energy of formation (eV per atom): -0.48

```
BaAs3
1.0
5.026 0.000 0.000
0.000 4.459 0.000
-0.777 0.000 5.297
Ba As
1 3
Direct
0.000 0.000 0.000 Ba
0.408 0.500 0.775 As
0.500 0.000 0.500 As
0.592 0.500 0.225 As
```

***

Entry 3:
Material: VSb3Pd
Method: DFT, PBE
State: optimized geometry

Computed properties:
Uncorrected formation energy (meV per atom): 690
Space-group type: Pm-3m, No. 221
Total energy (eV per atom): -4.65

```
VSb3Pd
1.0
5.196 0.000 0.000
0.000 5.196 0.000
0.000 0.000 5.196
V Sb Pd
1 3 1
Direct
0.000 0.000 0.000 V
0.000 0.500 0.500 Sb
0.500 0.000 0.500 Sb
0.500 0.500 0.000 Sb
0.500 0.500 0.500 Pd
```

***

Entry 4:
Material: LiRh2Pb2
Method: DFT, PBE
State: optimized geometry

Computed properties:
Space-group type: P4/mbm, No. 127
Total energy (eV per atom): -4.92
Energy of formation (eV per atom): -0.12

```
LiRh2Pb2
1.0
7.495 0.000 0.000
0.000 7.495 0.000
0.000 0.000 3.450
Li Rh Pb
2 4 4
Direct
0.000 0.000 0.000 Li
0.500 0.500 0.000 Li
0.137 0.363 0.000 Rh
0.363 0.863 0.000 Rh
0.637 0.137 0.000 Rh
0.863 0.637 0.000 Rh
0.162 0.662 0.500 Pb
0.338 0.162 0.500 Pb
0.662 0.838 0.500 Pb
0.838 0.338 0.500 Pb
```

***

Entry 5:
Material: Ac2B3Pt12Au
Method: DFT, PBE
State: optimized geometry

Computed properties:
Space-group type: R-3m, No. 166
Total energy (eV per atom): -6.14
Energy of formation (eV per atom): -0.36

```
Ac2B3Pt12Au
1.0
4.000 2.309 6.121
-4.000 2.309 6.121
0.000 -4.618 6.121
Ac B Pt Au
2 3 12 1
Direct
0.108 0.108 0.108 Ac
0.892 0.892 0.892 Ac
0.000 0.500 0.500 B
0.500 0.000 0.500 B
0.500 0.500 0.000 B
0.106 0.620 0.620 Pt
0.177 0.177 0.585 Pt
0.177 0.585 0.177 Pt
0.380 0.380 0.894 Pt
0.380 0.894 0.380 Pt
0.415 0.823 0.823 Pt
0.585 0.177 0.177 Pt
0.620 0.106 0.620 Pt
0.620 0.620 0.106 Pt
0.823 0.415 0.823 Pt
0.823 0.823 0.415 Pt
0.894 0.380 0.380 Pt
0.500 0.500 0.500 Au
```

***

Entry 6:
Material: BeW2Cl
Method: DFT, PBE
State: optimized geometry

Computed properties:
Uncorrected formation energy (meV per atom): 448
Space-group type: R3m, No. 160
Total energy (eV per atom): -7.42

```
BeW2Cl
1.0
1.434 0.828 8.217
-1.434 0.828 8.217
0.000 -1.656 8.217
Be W Cl
1 2 1
Direct
0.000 0.000 0.000 Be
0.508 0.508 0.508 W
0.744 0.744 0.744 W
0.256 0.256 0.256 Cl
```

***

Entry 7:
Material: HfCd2TeIr
Method: DFT, PBE
State: optimized geometry

Computed properties:
Uncorrected formation energy (meV per atom): 145
Space-group type: P4/mmm, No. 123
Total energy (eV per atom): -4.61

```
HfCd2TeIr
1.0
5.210 0.000 0.000
0.000 5.210 0.000
0.000 0.000 4.954
Hf Cd Te Ir
1 2 1 1
Direct
0.000 0.000 0.000 Hf
0.000 0.500 0.500 Cd
0.500 0.000 0.500 Cd
0.500 0.500 0.000 Te
0.000 0.000 0.500 Ir
```

***

Entry 8:
Material: Sm2DyTm
Method: DFT, PBE
State: optimized geometry

Computed properties:
Space-group type: R3m, No. 160
Total energy (eV per atom): -4.61
Energy of formation (eV per atom): 0.02

```
Sm2DyTm
1.0
1.796 1.037 11.547
-1.796 1.037 11.547
0.000 -2.074 11.547
Sm Dy Tm
2 1 1
Direct
0.000 0.000 0.000 Sm
0.167 0.167 0.167 Sm
0.417 0.417 0.417 Dy
0.584 0.584 0.584 Tm
```

***

Entry 9:
Material: ScPaPdRu
Method: DFT, PBE
State: optimized geometry

Computed properties:
Space-group type: F-43m, No. 216
Total energy (eV per atom): -8.09
Energy of formation (eV per atom): -0.51

```
ScPaPdRu
1.0
0.000 3.383 3.383
3.383 0.000 3.383
3.383 3.383 0.000
Sc Pa Pd Ru
1 1 1 1
Direct
0.000 0.000 0.000 Sc
0.500 0.500 0.500 Pa
0.750 0.750 0.750 Pd
0.250 0.250 0.250 Ru
```

***

Entry 10:
Material: TaGaI6
Method: DFT, PBE
State: optimized geometry

Computed properties:
Uncorrected formation energy (meV per atom): -405
Space-group type: C2/m, No. 12
Total energy (eV per atom): -3.43

```
TaGaI6
1.0
3.752 -6.655 0.000
3.752 6.655 0.000
-2.425 0.000 7.072
Ta Ga I
1 1 6
Direct
0.000 0.000 0.000 Ta
0.500 0.500 0.500 Ga
0.079 0.373 0.228 I
0.227 0.227 0.775 I
0.373 0.079 0.228 I
0.627 0.921 0.772 I
0.773 0.773 0.225 I
0.921 0.627 0.772 I
```

***

Entry 11:
Material: LaHg4Cl
Method: DFT, PBE
State: optimized geometry

Computed properties:
Uncorrected formation energy (meV per atom): -331
Space-group type: F-43m, No. 216
Total energy (eV per atom): -1.66

```
LaHg4Cl
1.0
0.000 4.334 4.334
4.334 0.000 4.334
4.334 4.334 0.000
La Hg Cl
1 4 1
Direct
0.000 0.000 0.000 La
0.375 0.375 0.375 Hg
0.375 0.375 0.874 Hg
0.375 0.874 0.375 Hg
0.874 0.375 0.375 Hg
0.750 0.750 0.750 Cl
```

***

Entry 12:
Material: ReAg2Hg
Method: DFT, PBE
State: optimized geometry

Computed properties:
Space-group type: Cmm2, No. 35
Total energy (eV per atom): -4.07
Energy of formation (eV per atom): 0.54

```
ReAg2Hg
1.0
1.457 -2.428 0.000
1.457 2.428 0.000
0.000 0.000 10.107
Re Ag Hg
1 2 1
Direct
0.000 0.000 0.000 Re
0.000 0.000 0.516 Ag
0.500 0.500 0.760 Ag
0.500 0.500 0.255 Hg
```

***

Entry 13:
Material: Ce2Nd
Method: DFT, PBE
State: optimized geometry

Computed properties:
Space-group type: I4/mmm, No. 139
Total energy (eV per atom): -5.46
Energy of formation (eV per atom): 0.09

```
Ce2Nd
1.0
-1.722 1.722 7.487
1.722 -1.722 7.487
1.722 1.722 -7.487
Ce Nd
2 1
Direct
0.174 0.174 0.000 Ce
0.826 0.826 0.000 Ce
0.500 0.500 0.000 Nd
```

***

Entry 14:
Material: SmMg3Hg3
Method: DFT, PBE
State: optimized geometry

Computed properties:
Space-group type: Pm-3n, No. 223
Total energy (eV per atom): -1.29
Energy of formation (eV per atom): 0.20

```
SmMg3Hg3
1.0
7.467 0.000 0.000
0.000 7.467 0.000
0.000 0.000 7.467
Sm Mg Hg
2 6 6
Direct
0.000 0.000 0.000 Sm
0.500 0.500 0.500 Sm
0.000 0.250 0.500 Mg
0.000 0.750 0.500 Mg
0.250 0.500 0.000 Mg
0.500 0.000 0.250 Mg
0.500 0.000 0.750 Mg
0.750 0.500 0.000 Mg
0.000 0.500 0.250 Hg
0.000 0.500 0.750 Hg
0.250 0.000 0.500 Hg
0.500 0.250 0.000 Hg
0.500 0.750 0.000 Hg
0.750 0.000 0.500 Hg
```

***

Entry 15:
Material: Na2HoGaBr6
Method: DFT, PBE
State: optimized geometry

Computed properties:
Uncorrected formation energy (meV per atom): -1479
Space-group type: R3, No. 146
Total energy (eV per atom): -3.51

```
Na2HoGaBr6
1.0
3.745 2.162 6.809
-3.745 2.162 6.809
0.000 -4.324 6.809
Na Ho Ga Br
2 1 1 6
Direct
0.000 0.000 0.000 Na
0.488 0.488 0.488 Na
0.683 0.683 0.683 Ho
0.195 0.195 0.195 Ga
0.061 0.430 0.775 Br
0.297 0.884 0.607 Br
0.430 0.775 0.061 Br
0.607 0.297 0.884 Br
0.775 0.061 0.430 Br
0.884 0.607 0.297 Br
```

***

Entry 16:
Material: LiEu2Sn
Method: DFT, PBE
State: optimized geometry

Computed properties:
Space-group type: P4/mmm, No. 123
Total energy (eV per atom): -7.01
Energy of formation (eV per atom): -0.40

```
LiEu2Sn
1.0
5.182 0.000 0.000
0.000 5.182 0.000
0.000 0.000 4.425
Li Eu Sn
1 2 1
Direct
0.000 0.000 0.000 Li
0.000 0.500 0.500 Eu
0.500 0.000 0.500 Eu
0.500 0.500 0.000 Sn
```

***

Entry 17:
Material: CaHgIN2
Method: DFT, PBE
State: optimized geometry

Computed properties:
Uncorrected formation energy (meV per atom): 1017
Space-group type: P4/mmm, No. 123
Total energy (eV per atom): -3.08

```
CaHgIN2
1.0
4.842 0.000 0.000
0.000 4.842 0.000
0.000 0.000 6.487
Ca Hg I N
1 1 1 2
Direct
0.000 0.000 0.000 Ca
0.500 0.500 0.500 Hg
0.000 0.000 0.500 I
0.000 0.500 0.000 N
0.500 0.000 0.000 N
```

***

Entry 18:
Material: Rb3Tm3InTe8
Method: DFT, PBE
State: optimized geometry

Computed properties:
Uncorrected formation energy (meV per atom): -1082
Space-group type: C2/m, No. 12
Total energy (eV per atom): -4.03

```
Rb3Tm3InTe8
1.0
7.576 -4.361 0.000
7.576 4.361 0.000
-5.063 0.000 8.837
Rb Tm In Te
3 3 1 8
Direct
0.000 0.000 0.000 Rb
0.000 0.500 0.000 Rb
0.500 0.000 0.000 Rb
0.000 0.500 0.500 Tm
0.500 0.000 0.500 Tm
0.500 0.500 0.500 Tm
0.000 0.000 0.500 In
0.233 0.233 0.696 Te
0.233 0.730 0.696 Te
0.267 0.267 0.302 Te
0.270 0.767 0.304 Te
0.730 0.233 0.696 Te
0.733 0.733 0.698 Te
0.767 0.270 0.304 Te
0.767 0.767 0.304 Te
```

***

Entry 19:
Material: CdSeCl2
Method: DFT, PBE
State: optimized geometry

Computed properties:
Uncorrected formation energy (meV per atom): -200
Space-group type: Immm, No. 71
Total energy (eV per atom): -2.22

```
CdSeCl2
1.0
-1.725 3.285 5.001
1.725 -3.285 5.001
1.725 3.285 -5.001
Cd Se Cl
1 1 2
Direct
0.000 0.000 0.000 Cd
0.500 0.500 0.000 Se
0.186 0.686 0.500 Cl
0.814 0.314 0.500 Cl
```

***

Entry 20:
Material: Pa2CoRe
Method: DFT, PBE
State: optimized geometry

Computed properties:
Space-group type: Fm-3m, No. 225
Total energy (eV per atom): -9.65
Energy of formation (eV per atom): -0.01

```
Pa2CoRe
1.0
0.000 3.399 3.399
3.399 0.000 3.399
3.399 3.399 0.000
Pa Co Re
2 1 1
Direct
0.250 0.250 0.250 Pa
0.750 0.750 0.750 Pa
0.000 0.000 0.000 Co
0.500 0.500 0.500 Re
```

***

Entry 21:
Material: LaDyMg2
Method: DFT, PBE
State: optimized geometry

Computed properties:
Space-group type: Fm-3m, No. 225
Total energy (eV per atom): -3.28
Energy of formation (eV per atom): -0.10

```
LaDyMg2
1.0
0.000 3.874 3.874
3.874 0.000 3.874
3.874 3.874 0.000
La Dy Mg
1 1 2
Direct
0.000 0.000 0.000 La
0.500 0.500 0.500 Dy
0.250 0.250 0.250 Mg
0.750 0.750 0.750 Mg
```

***

Entry 22:
Material: HPb
Method: DFT, PBE
State: optimized geometry

Computed properties:
Space-group type: I-43m, No. 217
Total energy (eV per atom): -3.10

```
HPb
1.0
-3.561 3.561 3.561
3.561 -3.561 3.561
3.561 3.561 -3.561
H Pb
4 4
Direct
0.000 0.000 0.755 H
0.000 0.755 0.000 H
0.245 0.245 0.245 H
0.755 0.000 0.000 H
0.000 0.000 0.359 Pb
0.000 0.359 0.000 Pb
0.359 0.000 0.000 Pb
0.641 0.641 0.641 Pb
```

***

Entry 23:
Material: PrSmEr2Te6
Method: DFT, PBE
State: optimized geometry

Computed properties:
Uncorrected formation energy (meV per atom): -1360
Space-group type: R3, No. 146
Total energy (eV per atom): -5.11

```
PrSmEr2Te6
1.0
3.901 2.252 7.039
-3.901 2.252 7.039
0.000 -4.504 7.039
Pr Sm Er Te
1 1 2 6
Direct
0.000 0.000 0.000 Pr
0.498 0.498 0.498 Sm
0.308 0.308 0.308 Er
0.810 0.810 0.810 Er
0.080 0.695 0.424 Te
0.204 0.579 0.915 Te
0.424 0.080 0.695 Te
0.579 0.915 0.204 Te
0.695 0.424 0.080 Te
0.915 0.204 0.579 Te
```

***

Entry 24:
Material: V2CrFe8
Method: DFT, PBE
State: optimized geometry

Computed properties:
Space-group type: Immm, No. 71
Total energy (eV per atom): -8.57
Energy of formation (eV per atom): 0.12

```
V2CrFe8
1.0
-1.988 2.859 5.875
1.988 -2.859 5.875
1.988 2.859 -5.875
V Cr Fe
2 1 8
Direct
0.175 0.175 0.000 V
0.825 0.825 0.000 V
0.500 0.500 0.000 Cr
0.082 0.341 0.741 Fe
0.230 0.000 0.230 Fe
0.337 0.837 0.500 Fe
0.400 0.659 0.741 Fe
0.600 0.341 0.259 Fe
0.663 0.163 0.500 Fe
0.770 0.000 0.770 Fe
0.918 0.659 0.259 Fe
```